Crystalline TcSnPt3 at its relaxed geometry, computed with GGA-PBEsol.

## Properties
The density is 11822 kg/m3. As for the space group: Pm-3m (221). As for the total magnetization: 4.409 μB/cell. The value obtained for the formation energy from the elements is 36.15 kcal/mol of atoms. The energy is -5.7158 eV per atom.

```
5
Lattice="4.830 0.000 0.000 0.000 4.830 0.000 0.000 0.000 4.830" Properties=species:S:1:pos:R:3 pbc="T T T"
Sn 0.000 0.000 0.000
Pt 0.000 2.415 0.000
Pt 0.000 0.000 2.415
Pt 2.415 0.000 0.000
Tc 2.415 2.415 2.415
```